# Be2POs GGA-PBE relaxed
# * VASP energy: -5.76 eV per atom
# * DOS(E_F): 0.55 states/eV per atom
data_Be2POs
_space_group_name_H-M_alt 'R 3 m'
_space_group_IT_number 160
_space_group_name_Hall 'R 3 -2"'
_cell_length_a 2.7794
_cell_length_b 2.7794
_cell_length_c 21.3566
_cell_angle_alpha 90.00
_cell_angle_beta 90.00
_cell_angle_gamma 120.00
loop_
_atom_site_label
_atom_site_fract_x
_atom_site_fract_y
_atom_site_fract_z
Be1 0.0000 0.0000 0.0000
Be2 0.0000 0.0000 0.2517
P1 0.0000 0.0000 0.5058
Os1 0.0000 0.0000 0.7547